[1]
VASP calculation (PBE-GGA) on a relaxed structure of NaCa4Au5.

Cell: 3.651 3.651 17.797 Å, 90.00 90.00 90.00°
Fractional positions:
1 Au 0.500 0.500 0.704
2 Na 0.000 0.000 0.000
3 Au 0.500 0.500 0.098
4 Ca 0.000 0.000 0.195
5 Au 0.500 0.500 0.296
6 Ca 0.000 0.000 0.602
7 Ca 0.000 0.000 0.805
8 Au 0.500 0.500 0.500
9 Au 0.500 0.500 0.902
10 Ca 0.000 0.000 0.398

Properties
ΔH_f (0 K): -0.701 eV per atom
Spin magnetization: 0.00 μB/atom
ρ: 8176 kg/m3
Symmetry: P4/mmm (123)


[2]
VASP calculation (PBE-GGA) on a relaxed structure of CuGeO.

Cell: 3.873 3.873 4.103 Å, 118.16 118.16 90.00°
Fractional positions:
1 Ge 0.581 0.581 0.161
2 Cu 0.982 0.982 0.964
3 O 0.287 0.287 0.575

Properties
VASP energy: -13.8 eV per cell
Spin magnetization: 0.00 μB/atom
ρ: 5514 kg/m3
Symmetry: I4mm (107)


[3]
VASP calculation (PBE-GGA) on a relaxed structure of ZrTiV3.

Cell: 4.451 4.451 4.451 Å, 90.00 90.00 90.00°
Fractional positions:
1 V 0.000 0.000 0.500
2 V 0.000 0.500 0.000
3 Zr 0.500 0.500 0.500
4 V 0.500 0.000 0.000
5 Ti 0.000 0.000 0.000

Properties
ΔH_f (0 K): 0.882 eV per atom
Spin magnetization: 0.00 μB/atom
ρ: 5499 kg/m3
Symmetry: Pm-3m (221)


[4]
VASP calculation (PBE-GGA) on a relaxed structure of HoNpHgO6.

Cell: 5.139 5.139 10.317 Å, 90.00 90.00 90.00°
Fractional positions:
1 O 0.321 0.321 0.986
2 O 0.305 0.305 0.690
3 O 0.777 0.223 0.824
4 Np 0.500 0.500 0.832
5 Np 0.000 0.000 0.332
6 O 0.223 0.777 0.824
7 O 0.821 0.179 0.486
8 O 0.195 0.805 0.190
9 O 0.723 0.723 0.324
10 O 0.805 0.195 0.190
11 Ho 0.000 0.000 0.668
12 O 0.179 0.821 0.486
13 Ho 0.500 0.500 0.168
14 O 0.679 0.679 0.986
15 Hg 0.500 0.500 0.499
16 O 0.695 0.695 0.690
17 O 0.277 0.277 0.324
18 Hg 0.000 0.000 0.999

Properties
VASP energy: -136.5 eV per cell
Spin magnetization: 0.00 μB/atom
ρ: 8513 kg/m3
Symmetry: P4_2nm (102)


[5]
VASP calculation (PBE-GGA) on a relaxed structure of TlSbS2.

Cell: 5.542 8.029 10.752 Å, 90.00 90.00 90.00°
Fractional positions:
1 S 0.750 0.081 0.779
2 S 0.750 0.131 0.424
3 S 0.750 0.581 0.721
4 Sb 0.250 0.594 0.096
5 S 0.250 0.869 0.576
6 Sb 0.250 0.094 0.404
7 S 0.250 0.919 0.221
8 Tl 0.750 0.034 0.130
9 S 0.750 0.631 0.076
10 S 0.250 0.369 0.924
11 Tl 0.750 0.534 0.370
12 Sb 0.750 0.906 0.596
13 Tl 0.250 0.966 0.870
14 Tl 0.250 0.466 0.630
15 S 0.250 0.419 0.279
16 Sb 0.750 0.406 0.904

Properties
VASP energy: -63.4 eV per cell
Spin magnetization: 0.00 μB/atom
ρ: 5419 kg/m3
Symmetry: Pnma (62)


[6]
VASP calculation (PBE-GGA) on a relaxed structure of EuErPtRh.

Cell: 4.928 4.928 4.928 Å, 60.00 60.00 60.00°
Last column: magnetic moment on the atom in μB.
Fractional positions:
1 Eu 0.500 0.500 0.500  6.69
2 Rh 0.250 0.250 0.250  -0.15
3 Er 0.000 0.000 0.000  0.05
4 Pt 0.750 0.750 0.750  -0.05

Properties
ΔH_f (0 K): -0.821 eV per atom
Spin magnetization: 1.68 μB/atom
ρ: 12112 kg/m3
Symmetry: F-43m (216)


[7]
VASP calculation (PBE-GGA) on a relaxed structure of CsTlZn2Ir.

Cell: 5.083 5.083 5.316 Å, 90.00 90.00 90.00°
Fractional positions:
1 Zn 0.500 0.000 0.000
2 Ir 0.000 0.000 0.000
3 Cs 0.500 0.500 0.500
4 Zn 0.000 0.500 0.000
5 Tl 0.000 0.000 0.500

Properties
ΔH_f (0 K): -0.050 eV per atom
Spin magnetization: 0.00 μB/atom
ρ: 7984 kg/m3
Symmetry: P4/mmm (123)


[8]
VASP calculation (PBE-GGA) on a relaxed structure of Ga3Pd.

Cell: 3.326 5.029 5.090 Å, 119.61 109.07 90.00°
Fractional positions:
1 Ga 0.278 0.615 0.556
2 Pd 0.000 0.045 0.000
3 Ga 0.722 0.059 0.444
4 Ga 0.500 0.448 0.000

Properties
ΔH_f (0 K): -0.257 eV per atom
Spin magnetization: 0.00 μB/atom
ρ: 7639 kg/m3
Symmetry: Imm2 (44)


[9]
VASP calculation (PBE-GGA) on a relaxed structure of Mg3Co5.

Cell: 7.695 7.695 4.501 Å, 90.00 90.00 120.03°
Last column: magnetic moment on the atom in μB.
Fractional positions:
1 Co 0.178 0.000 0.250  1.57
2 Co 0.667 0.333 0.500  1.29
3 Co 0.667 0.333 0.000  1.29
4 Mg 0.000 0.388 0.750  -0.03
5 Mg 0.388 0.388 0.250  -0.03
6 Co 0.822 0.000 0.750  1.57
7 Co 0.333 0.667 0.500  1.29
8 Co 0.000 0.178 0.250  1.57
9 Co 0.178 0.178 0.750  1.57
10 Co 0.822 0.822 0.250  1.57
11 Mg 0.000 0.612 0.250  -0.03
12 Mg 0.612 0.000 0.250  -0.03
13 Mg 0.612 0.612 0.750  -0.03
14 Co 0.000 0.822 0.750  1.57
15 Co 0.333 0.667 0.000  1.29
16 Mg 0.388 0.000 0.750  -0.03

Properties
ΔH_f (0 K): 0.343 eV per atom
Spin magnetization: 0.86 μB/atom
ρ: 5292 kg/m3
Symmetry: P6_3/mcm (193)


[10]
VASP calculation (PBE-GGA) on a relaxed structure of Mn5In.

Cell: 3.893 3.926 5.452 Å, 111.11 90.00 90.00°
Last column: magnetic moment on the atom in μB.
Fractional positions:
1 Mn 0.500 0.812 0.624  0.71
2 Mn 0.500 0.188 0.376  0.71
3 Mn 0.000 0.311 0.622  -0.78
4 Mn 0.000 0.689 0.378  -0.78
5 Mn 0.500 0.500 0.000  3.19
6 In 0.000 0.000 0.000  -0.04

Properties
ΔH_f (0 K): 0.186 eV per atom
Spin magnetization: 0.52 μB/atom
ρ: 8320 kg/m3
Symmetry: Cmmm (65)


[11]
VASP calculation (PBE-GGA) on a relaxed structure of PuHAu.

Cell: 3.428 3.113 9.119 Å, 90.01 90.00 90.00°
Last column: magnetic moment on the atom in μB.
Fractional positions:
1 Pu 0.373 0.791 0.926  5.54
2 H 0.873 0.291 0.841  -0.03
3 Au 0.872 0.291 0.157  0.02
4 H 0.372 0.791 0.672  -0.03
5 Au 0.372 0.791 0.355  0.02
6 Pu 0.872 0.291 0.586  5.54

Properties
VASP energy: -44.0 eV per cell
Spin magnetization: 1.96 μB/atom
ρ: 15086 kg/m3
Symmetry: Pmmn (59)


[12]
VASP calculation (PBE-GGA) on a relaxed structure of AlV3Cu.

Cell: 4.390 4.390 4.390 Å, 90.00 90.00 90.00°
Last column: magnetic moment on the atom in μB.
Fractional positions:
1 Al 0.500 0.500 0.500  -0.01
2 V 0.000 0.500 0.000  0.30
3 V 0.000 0.000 0.500  0.30
4 V 0.500 0.000 0.000  0.30
5 Cu 0.000 0.000 0.000  0.06

Properties
ΔH_f (0 K): 1.007 eV per atom
Spin magnetization: 0.20 μB/atom
ρ: 4777 kg/m3
Symmetry: Pm-3m (221)